A relaxed structure of Pm2SmTh3P6, computed with PBE.

Unit cell a=7.169 b=7.169 c=7.140 alpha=99.65 beta=99.65 gamma=119.92
Fractional coordinates of all 12 atoms:
Pm (0.167, 0.833, 0.000)
Pm (0.833, 0.167, 0.000)
Sm (0.500, 0.500, 0.000)
Th (0.000, 0.000, 0.500)
Th (0.333, 0.667, 0.500)
Th (0.667, 0.333, 0.500)
P (0.084, 0.416, 0.749)
P (0.251, 0.251, 0.252)
P (0.416, 0.084, 0.749)
P (0.584, 0.916, 0.251)
P (0.749, 0.749, 0.748)
P (0.916, 0.584, 0.251)

ΔE_f	-1.578	eV per atom
uncorrected energy	-7.322	eV per atom

---

A relaxed structure of Ba11AgPd2, computed with PBE.

Unit cell a=12.971 b=12.971 c=12.971 alpha=122.50 beta=105.79 gamma=100.99
Fractional coordinates of all 28 atoms:
Ba (0.000, 0.000, 0.000)
Ba (0.055, 0.453, 0.823)
Ba (0.076, 0.833, 0.657)
Ba (0.130, 0.953, 0.398)
Ba (0.176, 0.419, 0.343)
Ba (0.220, 0.865, 0.084)
Ba (0.280, 0.365, 0.645)
Ba (0.324, 0.667, 0.243)
Ba (0.370, 0.768, 0.823)
Ba (0.424, 0.081, 0.757)
Ba (0.445, 0.268, 0.398)
Ba (0.500, 0.500, 0.000)
Ba (0.555, 0.732, 0.602)
Ba (0.576, 0.919, 0.243)
Ba (0.630, 0.232, 0.177)
Ba (0.676, 0.333, 0.757)
Ba (0.720, 0.635, 0.355)
Ba (0.780, 0.135, 0.916)
Ba (0.824, 0.581, 0.657)
Ba (0.870, 0.047, 0.602)
Ba (0.924, 0.167, 0.343)
Ba (0.945, 0.547, 0.177)
Ag (0.250, 0.750, 0.500)
Ag (0.750, 0.250, 0.500)
Pd (0.166, 0.152, 0.318)
Pd (0.334, 0.652, 0.986)
Pd (0.666, 0.348, 0.014)
Pd (0.834, 0.848, 0.682)

ΔE_f	-0.055	eV per atom
uncorrected energy	-2.511	eV per atom

---

A relaxed structure of EuCdSnBi, computed with PBE.

Unit cell a=5.525 b=5.525 c=5.525 alpha=60.00 beta=60.00 gamma=60.00
Fractional coordinates of all 4 atoms:
Eu (0.000, 0.000, 0.000)
Cd (0.250, 0.250, 0.250)
Sn (0.500, 0.500, 0.500)
Bi (0.750, 0.750, 0.750)

ΔE_f	-0.291	eV per atom
uncorrected energy	-5.059	eV per atom

---

A relaxed structure of MoIr2Se, computed with PBE.

Unit cell a=4.749 b=4.749 c=2.815 alpha=90.00 beta=90.00 gamma=90.00
Fractional coordinates of all 4 atoms:
Mo (0.000, 0.000, 0.000)
Ir (0.000, 0.500, 0.500)
Ir (0.500, 0.000, 0.500)
Se (0.500, 0.500, 0.000)

uncorrected energy	-7.545	eV per atom

---

A relaxed structure of InSb2Ru, computed with PBE.

Unit cell a=7.169 b=7.169 c=7.169 alpha=153.84 beta=144.26 gamma=44.82
Fractional coordinates of all 4 atoms:
In (0.000, 0.000, 0.000)
Sb (0.328, 0.828, 0.500)
Sb (0.633, 0.633, 0.000)
Ru (0.795, 0.295, 0.500)

uncorrected energy	-4.957	eV per atom

---

A relaxed structure of LaNiCl2, computed with PBE.

Unit cell a=7.074 b=7.074 c=4.312 alpha=94.43 beta=94.43 gamma=31.54
Fractional coordinates of all 4 atoms:
La (0.000, 0.000, 0.000)
Ni (0.500, 0.500, 0.500)
Cl (0.358, 0.358, 0.245)
Cl (0.642, 0.642, 0.755)

polymorph energy (0 for the lowest one)	0.0	meV per atom
uncorrected energy	-4.773	eV per atom

---

A relaxed structure of Ta2BeOs, computed with PBE.

Unit cell a=5.592 b=5.592 c=5.592 alpha=102.88 beta=102.88 gamma=123.65
Fractional coordinates of all 8 atoms:
Ta (0.114, 0.625, 0.989)
Ta (0.375, 0.364, 0.489)
Ta (0.636, 0.125, 0.011)
Ta (0.875, 0.886, 0.511)
Be (0.000, 0.000, 0.000)
Be (0.750, 0.250, 0.500)
Os (0.250, 0.750, 0.500)
Os (0.500, 0.500, 0.000)

ΔE_f	0.605	eV per atom
uncorrected energy	-9.060	eV per atom

---

A relaxed structure of LuAlCdAu, computed with PBE.

Unit cell a=4.836 b=4.836 c=4.836 alpha=60.00 beta=60.00 gamma=60.00
Fractional coordinates of all 4 atoms:
Lu (0.000, 0.000, 0.000)
Al (0.500, 0.500, 0.500)
Cd (0.750, 0.750, 0.750)
Au (0.250, 0.250, 0.250)

ΔE_f	-0.427	eV per atom
uncorrected energy	-3.541	eV per atom

---

A relaxed structure of Mn2AsN, computed with PBE.

Unit cell a=6.197 b=6.197 c=6.197 alpha=27.55 beta=27.55 gamma=27.55
Fractional coordinates of all 4 atoms:
Mn (0.222, 0.222, 0.222)
Mn (0.778, 0.778, 0.778)
As (0.000, 0.000, 0.000)
N (0.500, 0.500, 0.500)

polymorph energy (0 for the lowest one)	0.0	meV per atom
uncorrected energy	-7.942	eV per atom

---

A relaxed structure of Eu2InPd, computed with PBE.

Unit cell a=3.642 b=3.642 c=8.207 alpha=90.00 beta=90.00 gamma=90.00
Fractional coordinates of all 4 atoms:
Eu (0.000, 0.000, 0.219)
Eu (0.000, 0.000, 0.781)
In (0.500, 0.500, 0.500)
Pd (0.500, 0.500, 0.000)

polymorph energy (0 for the lowest one)	0.0	meV per atom
ΔE_f	-0.537	eV per atom
uncorrected energy	-7.657	eV per atom

---

A relaxed structure of Dy3Er2Tm8, computed with PBE.

Unit cell a=11.773 b=11.773 c=11.773 alpha=152.95 beta=146.74 gamma=43.38
Fractional coordinates of all 13 atoms:
Dy (0.000, 0.000, 0.000)
Dy (0.266, 0.500, 0.766)
Dy (0.734, 0.500, 0.234)
Er (0.278, 0.778, 0.500)
Er (0.722, 0.222, 0.500)
Tm (0.109, 0.347, 0.762)
Tm (0.187, 0.187, 0.000)
Tm (0.415, 0.653, 0.762)
Tm (0.425, 0.925, 0.500)
Tm (0.575, 0.075, 0.500)
Tm (0.585, 0.347, 0.238)
Tm (0.813, 0.813, 0.000)
Tm (0.891, 0.653, 0.238)

polymorph energy (0 for the lowest one)	0.0	meV per atom
ΔE_f	0.162	eV per atom
uncorrected energy	-4.354	eV per atom

---

A relaxed structure of Sb2TeIrS, computed with PBE.

Unit cell a=5.055 b=5.055 c=5.007 alpha=90.00 beta=90.00 gamma=90.00
Fractional coordinates of all 5 atoms:
Sb (0.000, 0.500, 0.000)
Sb (0.500, 0.000, 0.000)
Te (0.000, 0.000, 0.500)
Ir (0.500, 0.500, 0.500)
S (0.000, 0.000, 0.000)

polymorph energy (0 for the lowest one)	471.3	meV per atom
uncorrected energy	-3.755	eV per atom

---

These records have calculated volume values of 299.7 805.7 119.3 63.5 94.6 112.5 64.2 80.0 44.9 108.9 405.9 128.0 Å³/f.u., in the order they appear.
These records have DOS(E_F) values of 5.12 36.47 5.44 5.12 2.70 1.56 6.83 2.31 3.28 17.97 21.01 2.86 states/eV/cell, in the order they appear.